Entry 1:
A relaxed structure of PaGeBr, computed with PBE-GGA.

The uncorrected energy is -5.93 eV/atom. Its formation energy from raw total energies is -0.66 eV per atom.

Unit cell a=9.728 b=3.958 c=10.887 alpha=90.00 beta=108.34 gamma=90.00
Space group C2/m (No. 12)
Symmetry-distinct sites (fractional):
Pa1 0.171 0.000 0.139 x4
Ge1 0.066 0.500 0.921 x4
Br1 0.195 0.000 0.660 x4


Entry 2:
A relaxed structure of PaGeBr6, computed with PBE-GGA.

The uncorrected energy is -4.12 eV/atom. Its formation energy from raw total energies is -1.11 eV per atom.

Unit cell a=7.019 b=13.170 c=7.020 alpha=90.00 beta=107.20 gamma=90.00
Space group C2/m (No. 12)
Symmetry-distinct sites (fractional):
Pa1 0.000 0.000 0.000 x2
Ge1 0.000 0.500 0.500 x2
Br1 0.247 0.000 0.753 x4
Br2 0.249 0.355 0.749 x8


Entry 3:
A relaxed structure of Pa2GeBr2, computed with PBE-GGA.

The uncorrected energy is -6.26 eV/atom. Its formation energy from raw total energies is -0.87 eV per atom.

Unit cell a=4.0832 b=4.0832 c=32.1065 alpha=90.00 beta=90.00 gamma=120.00
Space group R-3m (No. 166, hexagonal axes)
Symmetry-distinct sites (fractional):
Pa1 0.0000 0.0000 0.1180 x6
Ge1 0.0000 0.0000 0.5000 x3
Br1 0.0000 0.0000 0.2741 x6


Entry 4:
A relaxed structure of Ge3PbBr, computed with PBE-GGA.

The uncorrected energy is -2.93 eV/atom. Its formation energy from raw total energies is 0.92 eV per atom. The offset from the most stable computed form comes out at 0.164 eV per atom.

Unit cell a=5.590 b=5.590 c=5.590 alpha=90.00 beta=90.00 gamma=90.00
Space group Pm-3m (No. 221)
Symmetry-distinct sites (fractional):
Ge1 0.000 0.000 0.500 x3
Pb1 0.000 0.000 0.000 x1
Br1 0.500 0.500 0.500 x1


Entry 5:
A relaxed structure of Ge5Pb3Br16, computed with PBE-GGA.

The uncorrected energy is -3.22 eV/atom. Its formation energy from raw total energies is -0.68 eV per atom.

Unit cell a=15.179 b=8.466 c=13.413 alpha=90.00 beta=90.78 gamma=90.00
Space group Cm (No. 8)
Symmetry-distinct sites (fractional):
Ge1 0.000 0.000 0.000 x2
Ge2 0.030 0.500 0.249 x2
Ge3 0.083 0.240 0.508 x4
Ge4 0.331 0.500 0.741 x2
Pb1 0.259 0.249 0.019 x4
Pb2 0.347 0.000 0.516 x2
Br1 0.012 0.500 0.632 x2
Br2 0.017 0.000 0.622 x2
Br3 0.092 0.265 0.140 x4
Br4 0.155 0.000 0.893 x2
Br5 0.159 0.000 0.396 x2
Br6 0.160 0.500 0.379 x2
Br7 0.194 0.500 0.860 x2
Br8 0.260 0.263 0.638 x4
Br9 0.337 0.000 0.148 x2
Br10 0.348 0.500 0.140 x2
Br11 0.429 0.275 0.890 x4
Br12 0.443 0.252 0.392 x4


Entry 6:
A relaxed structure of GePb5Br12, computed with PBE-GGA.

The uncorrected energy is -3.25 eV/atom. Its formation energy from raw total energies is -0.85 eV per atom.

Unit cell a=7.619 b=13.256 c=14.051 alpha=90.00 beta=90.07 gamma=90.00
Space group C2/m (No. 12)
Symmetry-distinct sites (fractional):
Ge1 0.000 0.000 0.000 x2
Pb1 0.000 0.167 0.500 x4
Pb2 0.000 0.333 0.000 x4
Pb3 0.000 0.500 0.500 x2
Br1 0.155 0.155 0.114 x8
Br2 0.166 0.000 0.378 x4
Br3 0.166 0.333 0.378 x8
Br4 0.190 0.500 0.114 x4


> Look up the uncorrected energy of the fourth one.

-2.93 eV/atom